! TbCeTl4 | Alexandria | PBE | relaxed; values from VASP
&SYSTEM
  ibrav = 0, nat = 12, ntyp = 3
/
ATOMIC_SPECIES
Tb 158.93 Tb.upf
Ce 140.12 Ce.upf
Tl 204.38 Tl.upf
CELL_PARAMETERS angstrom
5.3588 0.0000 0.0968
0.0000 12.3113 0.0000
-0.0911 0.0000 5.2127
ATOMIC_POSITIONS crystal
Tb 0.5000 0.0000 0.5000
Ce 0.5000 0.5000 0.0000
Tl 0.9999 0.8310 0.5000
Tl 0.0000 0.6729 0.0000
Tl 0.4999 0.6690 0.5000
Tl 0.0000 0.3271 0.0000
Tl 0.5000 0.1728 0.0000
Tl 0.0001 0.1690 0.5000
Tb 0.0000 0.5000 0.5000
Ce 0.0000 0.0000 0.0000
Tl 0.5001 0.3310 0.5000
Tl 0.5000 0.8272 0.0000
! Distance to the lowest polymorph of the same formula = 0.0 meV per atom
! ΔH_f (0 K) = -0.11 eV/atom
! V = 344.0 Å³ per cell

! MgVReSn2 | Alexandria | PBE | relaxed; values from VASP
&SYSTEM
  ibrav = 0, nat = 5, ntyp = 4
/
ATOMIC_SPECIES
Sn 118.71 Sn.upf
Re 186.21 Re.upf
V 50.94 V.upf
Mg 24.30 Mg.upf
CELL_PARAMETERS angstrom
-3.2236 -1.0209 -3.6307
0.7642 -4.6985 0.6426
-3.6880 -0.1464 3.3156
ATOMIC_POSITIONS crystal
Sn 0.5000 0.0000 0.0000
Re 0.5000 0.5000 0.5000
V 0.0000 0.0000 0.0000
Sn 0.0000 0.0000 0.5000
Mg 0.0000 0.5000 0.0000
! ΔH_f (0 K) = 1.62 eV/atom
! V = 118.2 Å³ per cell

! ReHN | Alexandria | PBE | relaxed; values from VASP
&SYSTEM
  ibrav = 0, nat = 6, ntyp = 3
/
ATOMIC_SPECIES
Re 186.21 Re.upf
H 1.01 H.upf
N 14.01 N.upf
CELL_PARAMETERS angstrom
-3.2036 -1.5357 3.8080
2.1501 -1.0761 1.3748
1.5393 4.4107 1.0450
ATOMIC_POSITIONS crystal
Re 0.9179 0.0000 0.7970
H 0.4552 0.5000 0.8077
N 0.6651 0.5000 0.8784
Re 0.9179 0.5000 0.2970
H 0.4552 0.0000 0.3077
N 0.6651 0.0000 0.3784
! Distance to the lowest polymorph of the same formula = 33.7 meV per atom
! V = 65.6 Å³ per cell

! Ca4FeCo | Alexandria | PBE | relaxed; values from VASP
&SYSTEM
  ibrav = 0, nat = 6, ntyp = 3
/
ATOMIC_SPECIES
Ca 40.08 Ca.upf
Co 58.93 Co.upf
Fe 55.84 Fe.upf
CELL_PARAMETERS angstrom
0.0000 4.4805 4.4805
4.4805 0.0000 4.4805
4.4805 4.4805 0.0000
ATOMIC_POSITIONS crystal
Ca 0.8754 0.3749 0.3749
Ca 0.3749 0.3749 0.3749
Ca 0.3749 0.8754 0.3749
Co 0.7500 0.7500 0.7500
Fe 0.0000 0.0000 0.0000
Ca 0.3749 0.3749 0.8754
! ΔH_f (0 K) = 1.18 eV/atom
! V = 179.9 Å³ per cell

! Sc2NbHAu | Alexandria | PBE | relaxed; values from VASP
&SYSTEM
  ibrav = 0, nat = 5, ntyp = 4
/
ATOMIC_SPECIES
Sc 44.96 Sc.upf
Au 196.97 Au.upf
Nb 92.91 Nb.upf
H 1.01 H.upf
CELL_PARAMETERS angstrom
4.5285 0.0000 0.0000
0.0000 4.5285 0.0000
0.0000 0.0000 3.9007
ATOMIC_POSITIONS crystal
Sc 0.0000 0.5000 0.0000
Au 0.5000 0.5000 0.5000
Nb 0.0000 0.0000 0.5000
H 0.0000 0.0000 0.0000
Sc 0.5000 0.0000 0.0000
! V = 80.0 Å³ per cell

! HRu3Rh | Alexandria | PBE | relaxed; values from VASP
&SYSTEM
  ibrav = 0, nat = 5, ntyp = 3
/
ATOMIC_SPECIES
H 1.01 H.upf
Ru 101.07 Ru.upf
Rh 102.91 Rh.upf
CELL_PARAMETERS angstrom
4.7312 0.0000 0.0000
0.0000 4.7312 0.0000
0.0000 0.0000 4.7312
ATOMIC_POSITIONS crystal
H 0.5000 0.5000 0.5000
Ru 0.5000 0.0000 0.0000
Ru 0.0000 0.5000 0.0000
Ru 0.0000 0.0000 0.5000
Rh 0.0000 0.0000 0.0000
! Distance to the lowest polymorph of the same formula = 2340.1 meV per atom
! V = 105.9 Å³ per cell

! Ac2Tl2In3 | Alexandria | PBE | relaxed; values from VASP
&SYSTEM
  ibrav = 0, nat = 7, ntyp = 3
/
ATOMIC_SPECIES
Tl 204.38 Tl.upf
Ac 227.00 Ac.upf
In 114.82 In.upf
CELL_PARAMETERS angstrom
3.8028 0.0000 0.0000
0.0000 4.8936 0.0000
0.0000 -2.4468 11.9985
ATOMIC_POSITIONS crystal
Tl 0.5000 0.2881 0.5762
Ac 0.0000 0.8527 0.7054
In 0.5000 0.4357 0.8715
In 0.5000 0.5643 0.1285
In 0.0000 0.0000 0.0000
Tl 0.5000 0.7119 0.4238
Ac 0.0000 0.1473 0.2947
! ΔH_f (0 K) = -0.23 eV/atom
! V = 223.3 Å³ per cell

! TbSm2Ho | Alexandria | PBE | relaxed; values from VASP
&SYSTEM
  ibrav = 0, nat = 4, ntyp = 3
/
ATOMIC_SPECIES
Sm 150.36 Sm.upf
Ho 164.93 Ho.upf
Tb 158.93 Tb.upf
CELL_PARAMETERS angstrom
5.0551 0.0000 0.0000
0.0000 5.0748 0.0000
0.0000 0.0000 5.0748
ATOMIC_POSITIONS crystal
Sm 0.0000 0.5000 0.0000
Ho 0.5000 0.0000 0.0000
Sm 0.0000 0.0000 0.5000
Tb 0.5000 0.5000 0.5000
! Distance to the lowest polymorph of the same formula = 7.3 meV per atom
! ΔH_f (0 K) = 0.02 eV/atom
! V = 130.2 Å³ per cell

! KGeSeO5 | Alexandria | PBE | relaxed; values from VASP
&SYSTEM
  ibrav = 0, nat = 16, ntyp = 4
/
ATOMIC_SPECIES
Se 78.96 Se.upf
Ge 72.64 Ge.upf
O 16.00 O.upf
K 39.10 K.upf
CELL_PARAMETERS angstrom
6.1280 0.0472 0.0624
-1.7437 5.8749 0.0624
-1.7467 -2.3593 6.5908
ATOMIC_POSITIONS crystal
Se 0.6879 0.3121 0.2500
Ge 0.0000 0.0000 0.5000
O 0.5870 0.7617 0.9166
K 0.6666 0.3334 0.7500
O 0.1160 0.6923 0.8818
O 0.7617 0.5870 0.4166
Se 0.3121 0.6879 0.7500
K 0.3334 0.6666 0.2500
O 0.8840 0.3077 0.1182
O 0.9496 0.0504 0.7500
O 0.2383 0.4130 0.5834
Ge 0.0000 0.0000 0.0000
O 0.0504 0.9496 0.2500
O 0.6923 0.1160 0.3818
O 0.3077 0.8840 0.6182
O 0.4130 0.2383 0.0834
! Formation energy from raw total energies = -1.0784 eV per atom
! V = 239.6 Å³ per cell

! MgTi2Rh2 | Alexandria | PBE | relaxed; values from VASP
&SYSTEM
  ibrav = 0, nat = 5, ntyp = 3
/
ATOMIC_SPECIES
Mg 24.30 Mg.upf
Rh 102.91 Rh.upf
Ti 47.87 Ti.upf
CELL_PARAMETERS angstrom
3.0312 0.0000 0.0000
0.0000 2.9899 0.5665
0.0000 -0.1522 8.9764
ATOMIC_POSITIONS crystal
Mg 0.0000 0.0000 0.0000
Rh 0.5000 0.5992 0.8016
Ti 0.0000 0.8185 0.3629
Rh 0.5000 0.4008 0.1984
Ti 0.0000 0.1815 0.6371
! ΔH_f (0 K) = -0.44 eV/atom
! V = 81.6 Å³ per cell

! TlBSb2 | Alexandria | PBE | relaxed; values from VASP
&SYSTEM
  ibrav = 0, nat = 4, ntyp = 3
/
ATOMIC_SPECIES
Sb 121.76 Sb.upf
B 10.81 B.upf
Tl 204.38 Tl.upf
CELL_PARAMETERS angstrom
0.0000 3.6206 3.6206
3.6206 0.0000 3.6206
3.6206 3.6206 0.0000
ATOMIC_POSITIONS crystal
Sb 0.7500 0.7500 0.7500
Sb 0.2500 0.2500 0.2500
B 0.0000 0.0000 0.0000
Tl 0.5000 0.5000 0.5000
! Distance to the lowest polymorph of the same formula = 725.1 meV per atom
! Formation energy from raw total energies = 1.1077 eV per atom
! V = 94.9 Å³ per cell

! NdCd2Bi | Alexandria | PBE | relaxed; values from VASP
&SYSTEM
  ibrav = 0, nat = 4, ntyp = 3
/
ATOMIC_SPECIES
Cd 112.41 Cd.upf
Bi 208.98 Bi.upf
Nd 144.24 Nd.upf
CELL_PARAMETERS angstrom
-2.8368 -1.8982 0.2794
-0.8807 -1.3271 3.0319
-7.5564 8.7273 3.5593
ATOMIC_POSITIONS crystal
Cd 0.9109 0.9109 0.2673
Bi 0.5000 0.5000 0.5000
Cd 0.0891 0.0891 0.7327
Nd 0.0000 0.0000 0.0000
! ΔH_f (0 K) = 0.17 eV/atom
! V = 121.1 Å³ per cell

! SrY2CoCl | Alexandria | PBE | relaxed; values from VASP
&SYSTEM
  ibrav = 0, nat = 5, ntyp = 4
/
ATOMIC_SPECIES
Y 88.91 Y.upf
Co 58.93 Co.upf
Sr 87.62 Sr.upf
Cl 35.45 Cl.upf
CELL_PARAMETERS angstrom
4.9844 0.0000 0.0000
0.0000 6.6418 0.0000
0.0000 0.0000 4.9844
ATOMIC_POSITIONS crystal
Y 0.5000 0.0000 0.0000
Co 0.0000 0.0000 0.0000
Sr 0.0000 0.5000 0.0000
Y 0.0000 0.0000 0.5000
Cl 0.5000 0.5000 0.5000
! Formation energy from raw total energies = -0.3110 eV per atom
! V = 165.0 Å³ per cell

! CsSnTe2Se4 | Alexandria | PBE | relaxed; values from VASP
&SYSTEM
  ibrav = 0, nat = 8, ntyp = 4
/
ATOMIC_SPECIES
Cs 132.91 Cs.upf
Se 78.96 Se.upf
Sn 118.71 Sn.upf
Te 127.60 Te.upf
CELL_PARAMETERS angstrom
-2.4589 -2.9280 6.7791
-5.5752 -4.7773 0.3822
3.3030 -5.7446 3.1847
ATOMIC_POSITIONS crystal
Cs 0.0000 0.0000 0.0000
Se 0.3723 0.1600 0.4793
Sn 0.0000 0.5000 0.5000
Se 0.0116 0.8400 0.5207
Se 0.9884 0.4793 0.1600
Te 0.5000 0.6487 0.3513
Te 0.5000 0.3513 0.6487
Se 0.6277 0.5207 0.8400
! Formation energy from raw total energies = -0.3757 eV per atom
! V = 300.4 Å³ per cell

! Tl2TcB | Alexandria | PBE | relaxed; values from VASP
&SYSTEM
  ibrav = 0, nat = 4, ntyp = 3
/
ATOMIC_SPECIES
Tc 98.00 Tc.upf
B 10.81 B.upf
Tl 204.38 Tl.upf
CELL_PARAMETERS angstrom
1.5619 -3.9747 2.1247
-2.7392 -2.2219 3.2113
-1.9822 -4.2073 -1.0592
ATOMIC_POSITIONS crystal
Tc 0.5000 0.5000 0.5000
B 0.0000 0.0000 0.0000
Tl 0.2500 0.2500 0.2500
Tl 0.7500 0.7500 0.7500
! Distance to the lowest polymorph of the same formula = 626.0 meV per atom
! ΔH_f (0 K) = 1.56 eV/atom
! V = 76.7 Å³ per cell

! SrCdRe2 | Alexandria | PBE | relaxed; values from VASP
&SYSTEM
  ibrav = 0, nat = 4, ntyp = 3
/
ATOMIC_SPECIES
Sr 87.62 Sr.upf
Re 186.21 Re.upf
Cd 112.41 Cd.upf
CELL_PARAMETERS angstrom
6.1052 -0.0039 -0.0005
3.3166 5.1258 0.0005
-3.9937 -3.8802 2.5035
ATOMIC_POSITIONS crystal
Sr 0.7500 0.2500 0.5000
Re 0.0176 0.0176 0.0000
Re 0.4824 0.4824 0.0000
Cd 0.2500 0.7500 0.5000
! ΔH_f (0 K) = 1.03 eV/atom
! V = 78.4 Å³ per cell

! Tb2SmGe3Pt4 | Alexandria | PBE | relaxed; values from VASP
&SYSTEM
  ibrav = 0, nat = 10, ntyp = 4
/
ATOMIC_SPECIES
Ge 72.64 Ge.upf
Pt 195.08 Pt.upf
Tb 158.93 Tb.upf
Sm 150.36 Sm.upf
CELL_PARAMETERS angstrom
4.2586 0.0000 0.0000
0.0000 4.2586 0.0000
0.0000 0.0000 11.3685
ATOMIC_POSITIONS crystal
Ge 0.0000 0.5000 0.1238
Ge 0.5000 0.0000 0.8762
Pt 0.5000 0.0000 0.6629
Ge 0.0000 0.0000 0.5000
Pt 0.0000 0.5000 0.3371
Tb 0.5000 0.0000 0.2164
Sm 0.5000 0.5000 0.5000
Pt 0.0000 0.0000 0.0000
Pt 0.5000 0.5000 0.0000
Tb 0.0000 0.5000 0.7836
! ΔH_f (0 K) = -0.91 eV/atom
! V = 206.2 Å³ per cell

! TbDyPdPt | Alexandria | PBE | relaxed; values from VASP
&SYSTEM
  ibrav = 0, nat = 4, ntyp = 4
/
ATOMIC_SPECIES
Pt 195.08 Pt.upf
Dy 162.50 Dy.upf
Pd 106.42 Pd.upf
Tb 158.93 Tb.upf
CELL_PARAMETERS angstrom
3.7817 0.0000 0.0000
0.0000 4.4965 0.0000
-1.8909 0.0000 5.2819
ATOMIC_POSITIONS crystal
Pt 0.4127 0.0000 0.8255
Dy 0.8625 0.5000 0.7250
Pd 0.5870 0.5000 0.1740
Tb 0.1377 0.0000 0.2754
! Distance to the lowest polymorph of the same formula = 0.0 meV per atom
! ΔH_f (0 K) = -1.10 eV/atom
! V = 89.8 Å³ per cell

! SrHfI2O | Alexandria | PBE | relaxed; values from VASP
&SYSTEM
  ibrav = 0, nat = 5, ntyp = 4
/
ATOMIC_SPECIES
Hf 178.49 Hf.upf
Sr 87.62 Sr.upf
I 126.90 I.upf
O 16.00 O.upf
CELL_PARAMETERS angstrom
6.0768 0.0000 0.0000
0.0000 6.0768 0.0000
0.0000 0.0000 4.0003
ATOMIC_POSITIONS crystal
Hf 0.0000 0.0000 0.0000
Sr 0.5000 0.5000 0.5000
I 0.0000 0.5000 0.0000
O 0.0000 0.0000 0.5000
I 0.5000 0.0000 0.0000
! Distance to the lowest polymorph of the same formula = 0.0 meV per atom
! Formation energy from raw total energies = -1.3471 eV per atom
! V = 147.7 Å³ per cell

! MnAgBr2 | Alexandria | PBE | relaxed; values from VASP
&SYSTEM
  ibrav = 0, nat = 4, ntyp = 3
/
ATOMIC_SPECIES
Ag 107.87 Ag.upf
Mn 54.94 Mn.upf
Br 79.90 Br.upf
CELL_PARAMETERS angstrom
0.0000 3.5394 3.5394
3.5394 0.0000 3.5394
3.5394 3.5394 0.0000
ATOMIC_POSITIONS crystal
Ag 0.5000 0.5000 0.5000
Mn 0.0000 0.0000 0.0000
Br 0.2500 0.2500 0.2500
Br 0.7500 0.7500 0.7500
! Distance to the lowest polymorph of the same formula = 352.7 meV per atom
! Formation energy from raw total energies = 0.1154 eV per atom
! V = 88.7 Å³ per cell

Calculated size of the total moment, 4.3; 1.6; 0.0; 3.1; 0.0; 5.8; 0.0; 0.0; 0.0; 1.7; 0.0; 0.0; 0.0; 0.0; 1.1; 0.0; 0.0; 0.0; 0.7; 4.3 μB per cell (same order as the records).
Calculated total DFT energy (no corrections), -3.4469; -4.6101; -7.8306; -2.7448; -6.2316; -5.2604; -3.2505; -4.6422; -5.3272; -6.8600; -3.2145; -2.4505; -5.0235; -3.5104; -3.8820; -5.8397; -6.1092; -6.2199; -5.2858; -3.7262 eV/atom (same order as the records).